(1)
Here is crystalline CoPAuCl2 at its relaxed geometry from Alexandria. Energies are from PBE-GGA.

a = 5.056 Å, b = 5.056 Å, c = 4.826 Å
α = 90.00°, β = 90.00°, γ = 90.00°
Fractional coordinates of all 5 atoms:
1 Co 0.500 0.500 0.500
2 Au 0.000 0.000 0.000
3 P 0.000 0.000 0.500
4 Cl 0.000 0.500 0.000
5 Cl 0.500 0.000 0.000

The calculation puts the energy above the most stable polymorph in this dataset at 578 meV per atom. The calculation puts the formation energy (no corrections) at 0.961 eV/atom.



(2)
Here is crystalline Y6Te5C at its relaxed geometry from Alexandria. Energies are from PBE-GGA.

a = 7.307 Å, b = 7.460 Å, c = 7.416 Å
α = 59.80°, β = 80.40°, γ = 70.64°
Fractional coordinates of all 12 atoms:
1 Y 0.790 0.069 0.279
2 Y 0.210 0.652 0.279
3 Y 0.225 0.203 0.000
4 Y 0.775 0.797 0.000
5 Y 0.790 0.348 0.721
6 Y 0.210 0.931 0.721
7 Te 0.500 0.181 0.638
8 Te 0.000 0.336 0.328
9 Te 0.500 0.500 0.000
10 Te 0.000 0.664 0.672
11 Te 0.500 0.819 0.362
12 C 0.000 0.000 0.000

The calculation puts the formation energy (no corrections) at -1.210 eV/atom.



(3)
Here is crystalline BaSrMo2 at its relaxed geometry from Alexandria. Energies are from PBE-GGA.

a = 3.484 Å, b = 3.479 Å, c = 9.944 Å
α = 91.60°, β = 90.00°, γ = 90.00°
Fractional coordinates of all 4 atoms:
1 Ba 0.500 0.470 0.816
2 Mo 0.000 0.996 0.085
3 Mo 0.500 0.506 0.176
4 Sr 0.000 0.028 0.423

The formation energy comes out at 2.44 eV/f.u. The calculation puts the energy above the most stable polymorph in this dataset at 79 meV per atom.



(4)
Here is crystalline NdTeIO4 at its relaxed geometry from Alexandria. Energies are from PBE-GGA.

a = 6.881 Å, b = 6.881 Å, c = 7.124 Å
α = 77.06°, β = 77.06°, γ = 64.75°
Fractional coordinates of all 14 atoms:
1 Nd 0.252 0.252 0.862
2 Nd 0.748 0.748 0.138
3 Te 0.629 0.629 0.743
4 Te 0.371 0.371 0.257
5 I 0.005 0.005 0.252
6 I 0.995 0.995 0.748
7 O 0.304 0.304 0.523
8 O 0.696 0.696 0.477
9 O 0.117 0.485 0.138
10 O 0.536 0.536 0.194
11 O 0.515 0.883 0.862
12 O 0.485 0.117 0.138
13 O 0.464 0.464 0.806
14 O 0.883 0.515 0.862

The calculation puts the formation energy (no corrections) at -1.578 eV/atom.



(5)
Here is crystalline NaMn2AgBr6 at its relaxed geometry from Alexandria. Energies are from PBE-GGA.

a = 7.088 Å, b = 7.088 Å, c = 7.459 Å
α = 89.99°, β = 118.36°, γ = 120.00°
Fractional coordinates of all 10 atoms:
1 Na 0.009 0.004 0.999
2 Mn 0.603 0.801 0.390
3 Mn 0.608 0.303 0.898
4 Ag 0.024 0.511 0.521
5 Br 0.494 0.929 0.664
6 Br 0.506 0.068 0.168
7 Br 0.745 0.676 0.168
8 Br 0.113 0.436 0.168
9 Br 0.749 0.564 0.664
10 Br 0.114 0.184 0.664

The calculation puts the formation energy (no corrections) at -0.793 eV/atom.



(6)
Here is crystalline LaOs2Ru at its relaxed geometry from Alexandria. Energies are from PBE-GGA.

a = 5.919 Å, b = 5.919 Å, c = 5.919 Å
α = 151.81°, β = 133.31°, γ = 55.44°
Fractional coordinates of all 4 atoms:
1 La 0.250 0.750 0.500
2 Os 0.970 0.970 0.000
3 Os 0.530 0.530 0.000
4 Ru 0.750 0.250 0.500

The formation energy comes out at 1.80 eV/f.u. The calculation puts the energy above the most stable polymorph in this dataset at 127 meV per atom.



(7)
Here is crystalline AsP2Ru at its relaxed geometry from Alexandria. Energies are from PBE-GGA.

a = 2.956 Å, b = 4.518 Å, c = 4.417 Å
α = 90.00°, β = 90.00°, γ = 90.00°
Fractional coordinates of all 4 atoms:
1 As 0.000 0.500 0.500
2 P 0.000 0.000 0.000
3 P 0.500 0.500 0.000
4 Ru 0.500 0.000 0.500

The formation energy comes out at 1.99 eV/f.u.



(8)
Here is crystalline Co5Mo3 at its relaxed geometry from Alexandria. Energies are from PBE-GGA.

a = 5.216 Å, b = 5.216 Å, c = 3.637 Å
α = 90.00°, β = 90.00°, γ = 90.47°
Fractional coordinates of all 8 atoms:
1 Co 0.000 0.000 0.000
2 Co 0.500 0.000 0.000
3 Co 0.000 0.500 0.000
4 Co 0.754 0.754 0.500
5 Co 0.246 0.246 0.500
6 Mo 0.500 0.500 0.000
7 Mo 0.765 0.235 0.500
8 Mo 0.235 0.765 0.500

The formation energy comes out at 0.46 eV/f.u. The calculation puts the energy above the most stable polymorph in this dataset at 0 meV per atom.



VASP energy values (in eV/atom) by entry order: -2.937; -6.519; -5.707; -5.762; -4.048; -8.716; -5.688; -8.446.